## KAlN (PBE)

Data for KAlN after structural relaxation.

Crystal system ... tetragonal
Energy relative to the lowest polymorph listed for this composition ... 0 meV per atom

a b c (Å): 3.7279 3.7279 11.2011
angles (deg): 90.00 90.00 90.00
Closest atoms and distances in Å follow each position.
Fractional positions:
K  0.2500  0.2500  0.1746  1 N 3.13
K  0.7500  0.7500  0.8254  1 N 3.13
Al  0.2500  0.7500  0.5000  4 N 1.93
Al  0.7500  0.2500  0.5000  4 N 1.93
N  0.2500  0.2500  0.4542  4 Al 1.93
N  0.7500  0.7500  0.5458  4 Al 1.93


## KNaAlN (PBE)

Data for KNaAlN after structural relaxation.

Crystal system ... orthorhombic
Energy relative to the lowest polymorph listed for this composition ... 77 meV per atom

a b c (Å): 6.3800 6.3800 6.3800
angles (deg): 150.25 134.56 55.26
Closest atoms and distances in Å follow each position.
Fractional positions:
K  0.0000  0.0000  0.0000  2 N 2.95, 2 K 3.28
Na  0.6768  0.6768  0.0000  2 N 2.51
Al  0.2984  0.2984  0.0000  2 N 1.88
N  0.2168  0.7168  0.5000  2 Al 1.88


## KNaAlN (PBE)

Data for KNaAlN after structural relaxation.

Crystal system ... monoclinic
Energy relative to the lowest polymorph listed for this composition ... 12 meV per atom

a b c (Å): 3.2385 3.2385 9.6114
angles (deg): 99.81 99.81 60.11
Closest atoms and distances in Å follow each position.
Fractional positions:
K  0.0000  0.0000  0.0000  3 N 2.89-2.90, 4 K 3.24
Na  0.8009  0.8009  0.3903  6 Na 3.24, 3 Al 3.51-3.54
Al  0.5673  0.5673  0.7064  3 N 1.95
N  0.2536  0.2536  0.7653  3 Al 1.95


## KNaAlN (PBE)

Data for KNaAlN after structural relaxation.

Crystal system ... orthorhombic
Energy relative to the lowest polymorph listed for this composition ... 96 meV per atom

a b c (Å): 3.2307 7.4162 7.4162
angles (deg): 33.00 90.00 90.00
Closest atoms and distances in Å follow each position.
Fractional positions:
K  0.0000  0.0000  0.0000  4 N 3.04, 2 Al 3.17, 2 K 3.23
Na  0.5000  0.2819  0.2819  4 Al 3.12, 2 Na 3.23, 2 N 3.29
Al  0.0000  0.6667  0.6667  2 N 1.84
N  0.5000  0.6046  0.6046  2 Al 1.84


## KNaAlN (PBE)

Data for KNaAlN after structural relaxation.

Crystal system ... monoclinic
Energy relative to the lowest polymorph listed for this composition ... 81 meV per atom

a b c (Å): 6.5675 6.5675 5.5326
angles (deg): 107.59 107.59 28.68
Closest atoms and distances in Å follow each position.
Fractional positions:
K  0.0000  0.0000  0.0000  2 N 2.86, 1 Al 3.18
Na  0.7618  0.7618  0.4081  1 N 2.41
Al  0.2236  0.2236  0.8596  2 N 1.86
N  0.6773  0.6773  0.9538  2 Al 1.86


## KNaAlN (PBE)

Data for KNaAlN after structural relaxation.

Crystal system ... orthorhombic
Energy relative to the lowest polymorph listed for this composition ... 80 meV per atom

a b c (Å): 3.2005 5.7851 5.7851
angles (deg): 58.91 90.00 90.00
Closest atoms and distances in Å follow each position.
Fractional positions:
K  0.0000  0.0000  0.0000  2 N 2.91, 2 K 3.20
Na  0.5000  0.6322  0.6322  2 N 2.52
Al  0.5000  0.3410  0.3410  2 N 1.88
N  0.0000  0.4383  0.4383  2 Al 1.88


## KNaAlN (PBE)

Data for KNaAlN after structural relaxation.

Crystal system ... monoclinic
Energy relative to the lowest polymorph listed for this composition ... 0 meV per atom

a b c (Å): 3.2483 3.2483 9.4882
angles (deg): 99.97 99.97 60.00
Closest atoms and distances in Å follow each position.
Fractional positions:
K  0.0000  0.0000  0.0000  3 N 2.90
Na  0.5369  0.5369  0.6029  6 Na 3.25, 1 N 3.39, 3 Al 3.41
Al  0.7672  0.7672  0.2969  3 N 1.95
N  0.4140  0.4140  0.2378  3 Al 1.95


## KNaAlN (PBE)

Data for KNaAlN after structural relaxation.

Crystal system ... monoclinic
Energy relative to the lowest polymorph listed for this composition ... 2 meV per atom

a b c (Å): 3.2498 3.2498 9.2818
angles (deg): 90.61 90.61 60.02
Closest atoms and distances in Å follow each position.
Fractional positions:
K  0.0000  0.0000  0.0000  3 N 2.89-2.90
Na  0.6805  0.6805  0.6020  6 Na 3.25, 1 N 3.38, 3 Al 3.39-3.40
Al  0.3398  0.3398  0.2971  3 N 1.96
N  0.6719  0.6719  0.2377  3 Al 1.96


## KAlNO2 (PBE)

Data for KAlNO2 after structural relaxation.

Crystal system ... tetragonal

a b c (Å): 4.7692 4.7692 4.9639
angles (deg): 90.00 90.00 90.00
Closest atoms and distances in Å follow each position.
Fractional positions:
K  0.0000  0.0000  0.0000  4 O 2.38, 2 N 2.48
Al  0.5000  0.5000  0.5000  4 N 3.37, 8 O 3.44
N  0.0000  0.0000  0.5000  2 K 2.48
O  0.0000  0.5000  0.0000  2 K 2.38
O  0.5000  0.0000  0.0000  2 K 2.38


## KAl2NO2 (PBE)

Data for KAl2NO2 after structural relaxation.

Crystal system ... monoclinic

a b c (Å): 5.3735 5.0343 6.4464
angles (deg): 90.00 94.20 90.00
Closest atoms and distances in Å follow each position.
Fractional positions:
K  0.2321  0.2500  0.0711  2 O 2.75-2.92
K  0.7679  0.7500  0.9289  2 O 2.75-2.92
Al  0.2305  0.5110  0.5772  2 O 1.81-1.82, 2 N 1.93-1.95
Al  0.2305  0.9890  0.5772  2 O 1.81-1.82, 2 N 1.93-1.95
Al  0.7695  0.0110  0.4228  2 O 1.81-1.82, 2 N 1.93-1.95
Al  0.7695  0.4890  0.4228  2 O 1.81-1.82, 2 N 1.93-1.95
N  0.0275  0.7500  0.3970  4 Al 1.93-1.95
N  0.9725  0.2500  0.6030  4 Al 1.93-1.95
O  0.2724  0.7500  0.7883  2 Al 1.82
O  0.4563  0.2500  0.5464  2 Al 1.81
O  0.5437  0.7500  0.4536  2 Al 1.81
O  0.7276  0.2500  0.2117  2 Al 1.82


## KAlNO2 (PBE)

Data for KAlNO2 after structural relaxation.

Crystal system ... tetragonal

a b c (Å): 3.8427 3.8427 4.1166
angles (deg): 90.00 90.00 90.00
Closest atoms and distances in Å follow each position.
Fractional positions:
K  0.0000  0.0000  0.0000  4 N 2.72, 8 O 2.82
Al  0.5000  0.5000  0.5000  4 O 1.92, 2 N 2.06
N  0.5000  0.5000  0.0000  2 Al 2.06
O  0.0000  0.5000  0.5000  2 Al 1.92
O  0.5000  0.0000  0.5000  2 Al 1.92


## KAl2PdN (PBE)

Data for KAl2PdN after structural relaxation.

Crystal system ... tetragonal

a b c (Å): 4.7165 4.7165 6.3381
angles (deg): 90.00 90.00 90.00
Closest atoms and distances in Å follow each position.
Fractional positions:
K  0.0000  0.0000  0.0000  2 Pd 3.17, 4 N 3.34
Al  0.0000  0.5000  0.5000  2 Pd 2.36
Al  0.5000  0.0000  0.5000  2 Pd 2.36
Pd  0.0000  0.0000  0.5000  4 Al 2.36
N  0.5000  0.5000  0.0000  4 K 3.34


## KAlSe2N (PBE)

Data for KAlSe2N after structural relaxation.

Crystal system ... tetragonal
Energy relative to the lowest polymorph listed for this composition ... 0 meV per atom

a b c (Å): 5.6384 5.6384 3.4779
angles (deg): 90.00 90.00 90.00
Closest atoms and distances in Å follow each position.
Fractional positions:
K  0.0000  0.0000  0.0000  8 Se 3.31, 2 K 3.48
Al  0.5000  0.5000  0.5000  2 N 1.74
Se  0.0000  0.5000  0.5000  2 Al 2.82
Se  0.5000  0.0000  0.5000  2 Al 2.82
N  0.5000  0.5000  0.0000  2 Al 1.74


Taking the records one at a time from the top gives E values of -29.33 -15.00 -15.26 -14.92 -14.99 -14.99 -15.31 -15.30 -15.84 -76.12 -27.30 -18.08 -20.68 eV per cell.
Taking the records one at a time from the top gives formation energy (no corrections) values of -1.50 -0.52 -0.78 -0.44 -0.50 -0.50 -0.83 -0.82 7.24 -11.24 -4.22 4.02 -0.54 eV per formula unit.